[1]
A geometry-optimized CaTc2 structure. Source: Alexandria, functional GGA-PBE.

Cell lengths 4.0690, 4.0690, 4.8813 Å; angles 90.00, 90.00, 120.00 degrees
Closest atoms and distances in Å follow each position.
Sites, in units of the cell vectors:
1 Ca 0.0000 0.0000 0.0000  12 Tc 3.39
2 Tc 0.3333 0.6667 0.5000  3 Tc 2.35
3 Tc 0.6667 0.3333 0.5000  3 Tc 2.35

Energy of formation = 0.49 eV per atom
Energy above the lowest structure with this stoichiometry = 237.4 meV/atom
Space group = P6/mmm (191)


[2]
A geometry-optimized Ca5Tc structure. Source: Alexandria, functional GGA-PBE.

Cell lengths 7.7582, 7.7582, 5.1377 Å; angles 90.00, 90.00, 141.78 degrees
Closest atoms and distances in Å follow each position.
Sites, in units of the cell vectors:
1 Ca 0.0000 0.0000 0.0000  8 Ca 3.33, 4 Tc 3.61
2 Ca 0.1447 0.8553 0.5000  2 Tc 3.31, 6 Ca 3.33-3.61
3 Ca 0.3531 0.6469 0.0000  6 Ca 3.33-3.61, 2 Tc 3.35
4 Ca 0.6469 0.3531 0.0000  6 Ca 3.33-3.61, 2 Tc 3.35
5 Ca 0.8553 0.1447 0.5000  2 Tc 3.31, 6 Ca 3.33-3.61
6 Tc 0.5000 0.5000 0.5000  12 Ca 3.31-3.61

Energy of formation = 0.38 eV per atom
Energy above the lowest structure with this stoichiometry = 82.9 meV/atom
Space group = Cmmm (65)


[3]
A geometry-optimized CaTc2 structure. Source: Alexandria, functional GGA-PBE.

Cell lengths 5.4100, 5.4100, 5.4100 Å; angles 60.00, 60.00, 60.00 degrees
Closest atoms and distances in Å follow each position.
Sites, in units of the cell vectors:
1 Ca 0.1250 0.1250 0.1250  12 Tc 3.17, 4 Ca 3.31
2 Ca 0.8750 0.8750 0.8750  12 Tc 3.17, 4 Ca 3.31
3 Tc 0.0000 0.5000 0.5000  6 Tc 2.71
4 Tc 0.5000 0.0000 0.5000  6 Tc 2.71
5 Tc 0.5000 0.5000 0.0000  6 Tc 2.71
6 Tc 0.5000 0.5000 0.5000  6 Tc 2.71

Energy of formation = 0.25 eV per atom
Energy above the lowest structure with this stoichiometry = 0.0 meV/atom
Space group = Fd-3m (227)


[4]
A geometry-optimized Ca5Tc structure. Source: Alexandria, functional GGA-PBE.

Cell lengths 5.6821, 9.7386, 9.7386 Å; angles 21.67, 90.00, 90.00 degrees
Closest atoms and distances in Å follow each position.
Sites, in units of the cell vectors:
1 Ca 0.0000 0.0000 0.0000  2 Tc 3.19, 2 Ca 3.31
2 Ca 0.0000 0.2678 0.2678  2 Tc 3.10, 4 Ca 3.45
3 Ca 0.5000 0.0889 0.0889  6 Ca 3.27-3.66, 4 Tc 3.50
4 Ca 0.5000 0.4055 0.4055  12 Ca 3.66-3.96
5 Ca 0.5000 0.7305 0.7305  8 Ca 3.27-3.66, 2 Tc 3.36
6 Tc 0.0000 0.6367 0.6367  6 Ca 3.10-3.36

Energy of formation = 0.41 eV per atom
Energy above the lowest structure with this stoichiometry = 111.5 meV/atom
Space group = Amm2 (38)


[5]
A geometry-optimized Ca2Tc structure. Source: Alexandria, functional GGA-PBE.

Cell lengths 3.3983, 3.3983, 7.9124 Å; angles 90.00, 90.00, 120.00 degrees
Closest atoms and distances in Å follow each position.
Sites, in units of the cell vectors:
1 Ca 0.3333 0.6667 0.2769  3 Tc 2.94
2 Ca 0.6667 0.3333 0.7231  3 Tc 2.94
3 Tc 0.0000 0.0000 0.0000  6 Ca 2.94

Energy of formation = 0.68 eV per atom
Energy above the lowest structure with this stoichiometry = 447.2 meV/atom
Space group = P-3m1 (164)


[6]
A geometry-optimized CaTc3 structure. Source: Alexandria, functional GGA-PBE.

Cell lengths 2.8906, 2.8906, 9.3535 Å; angles 90.00, 90.00, 120.00 degrees
Closest atoms and distances in Å follow each position.
Sites, in units of the cell vectors:
1 Ca 0.0000 0.0000 0.0000  6 Ca 2.89, 6 Tc 3.10
2 Tc 0.0000 0.0000 0.5000  12 Tc 2.65-2.89
3 Tc 0.6667 0.3333 0.2797  9 Tc 2.65-2.89
4 Tc 0.6667 0.3333 0.7203  9 Tc 2.65-2.89

Energy of formation = 0.53 eV per atom
Energy above the lowest structure with this stoichiometry = 179.9 meV/atom
Space group = P-6m2 (187)


[7]
A geometry-optimized Ca3Tc4 structure. Source: Alexandria, functional GGA-PBE.

Cell lengths 14.9387, 14.9387, 14.9387 Å; angles 167.71, 167.71, 17.41 degrees
Closest atoms and distances in Å follow each position.
Sites, in units of the cell vectors:
1 Ca 0.0000 0.0000 0.0000  10 Tc 3.19-3.44, 4 Ca 3.20
2 Ca 0.3092 0.3092 0.0000  5 Tc 3.15-3.38, 4 Ca 3.20
3 Ca 0.6908 0.6908 0.0000  5 Tc 3.15-3.38, 4 Ca 3.20
4 Tc 0.1166 0.1166 0.0000  4 Tc 2.56
5 Tc 0.4237 0.4237 0.0000  4 Tc 2.56
6 Tc 0.5763 0.5763 0.0000  4 Tc 2.56
7 Tc 0.8834 0.8834 0.0000  4 Tc 2.56

Energy of formation = 0.25 eV per atom
Energy above the lowest structure with this stoichiometry = 0.0 meV/atom
Space group = I4/mmm (139)


[8]
A geometry-optimized CaTc2 structure. Source: Alexandria, functional GGA-PBE.

Cell lengths 5.9379, 5.9379, 7.6241 Å; angles 111.77, 111.77, 27.99 degrees
Closest atoms and distances in Å follow each position.
Sites, in units of the cell vectors:
1 Ca 0.1514 0.1514 0.1078  2 Ca 2.87, 1 Tc 3.01
2 Ca 0.8486 0.8486 0.8922  2 Ca 2.87, 1 Tc 3.01
3 Tc 0.1534 0.1534 0.5041  8 Tc 2.62-2.87
4 Tc 0.4563 0.4563 0.3092  7 Tc 2.62-2.87
5 Tc 0.5437 0.5437 0.6908  7 Tc 2.62-2.87
6 Tc 0.8466 0.8466 0.4959  8 Tc 2.62-2.87

Energy of formation = 0.37 eV per atom
Energy above the lowest structure with this stoichiometry = 124.3 meV/atom
Space group = C2/m (12)


[9]
A geometry-optimized Ca2Tc structure. Source: Alexandria, functional GGA-PBE.

Cell lengths 14.9770, 14.9770, 14.9770 Å; angles 166.96, 166.96, 18.48 degrees
Closest atoms and distances in Å follow each position.
Sites, in units of the cell vectors:
1 Ca 0.3120 0.5620 0.7500  4 Tc 3.04, 4 Ca 3.40
2 Ca 0.4380 0.6880 0.7500  4 Tc 3.04, 4 Ca 3.40
3 Ca 0.5620 0.3120 0.2500  4 Tc 3.04, 4 Ca 3.40
4 Ca 0.6880 0.4380 0.2500  4 Tc 3.04, 4 Ca 3.40
5 Tc 0.1250 0.8750 0.2500  8 Ca 3.04, 4 Tc 3.40
6 Tc 0.8750 0.1250 0.7500  8 Ca 3.04, 4 Tc 3.40

Energy of formation = 0.58 eV per atom
Energy above the lowest structure with this stoichiometry = 345.9 meV/atom
Space group = I4_1/amd (141)


[10]
A geometry-optimized CaTc3 structure. Source: Alexandria, functional GGA-PBE.

Cell lengths 4.5122, 4.5122, 4.5122 Å; angles 60.00, 60.00, 60.00 degrees
Closest atoms and distances in Å follow each position.
Sites, in units of the cell vectors:
1 Ca 0.0000 0.0000 0.0000  8 Tc 2.76
2 Tc 0.2500 0.2500 0.2500  4 Tc 2.76, 4 Ca 2.76
3 Tc 0.5000 0.5000 0.5000  8 Tc 2.76
4 Tc 0.7500 0.7500 0.7500  4 Tc 2.76, 4 Ca 2.76

Energy of formation = 0.51 eV per atom
Energy above the lowest structure with this stoichiometry = 161.0 meV/atom
Space group = Fm-3m (225)


[11]
A geometry-optimized CaTc2 structure. Source: Alexandria, functional GGA-PBE.

Cell lengths 6.2194, 6.2194, 6.2194 Å; angles 150.73, 150.73, 41.86 degrees
Closest atoms and distances in Å follow each position.
Sites, in units of the cell vectors:
1 Ca 0.0000 0.0000 0.0000  4 Ca 3.14, 8 Tc 3.19
2 Tc 0.3031 0.3031 0.0000  4 Tc 2.54
3 Tc 0.6969 0.6969 0.0000  4 Tc 2.54

Energy of formation = 0.28 eV per atom
Energy above the lowest structure with this stoichiometry = 28.0 meV/atom
Space group = I4/mmm (139)


[12]
A geometry-optimized Ca2Tc structure. Source: Alexandria, functional GGA-PBE.

Cell lengths 8.7400, 8.7400, 5.3987 Å; angles 90.00, 90.00, 159.91 degrees
Closest atoms and distances in Å follow each position.
Sites, in units of the cell vectors:
1 Ca 0.0451 0.9549 0.7500  6 Ca 3.05-3.37, 6 Tc 3.26-3.37
2 Ca 0.2805 0.7195 0.2500  8 Ca 3.05-3.37, 4 Tc 3.12-3.18
3 Ca 0.7195 0.2805 0.7500  8 Ca 3.05-3.37, 4 Tc 3.12-3.18
4 Ca 0.9549 0.0451 0.2500  6 Ca 3.05-3.37, 6 Tc 3.26-3.37
5 Tc 0.3777 0.6223 0.7500  2 Tc 3.05, 10 Ca 3.12-3.37
6 Tc 0.6223 0.3777 0.2500  2 Tc 3.05, 10 Ca 3.12-3.37

Energy of formation = 0.65 eV per atom
Energy above the lowest structure with this stoichiometry = 409.2 meV/atom
Space group = Cmcm (63)


[13]
A geometry-optimized CaTc3 structure. Source: Alexandria, functional GGA-PBE.

Cell lengths 4.0739, 4.0739, 4.0739 Å; angles 90.00, 90.00, 90.00 degrees
Closest atoms and distances in Å follow each position.
Sites, in units of the cell vectors:
1 Ca 0.0000 0.0000 0.0000  12 Tc 2.88
2 Tc 0.0000 0.5000 0.5000  8 Tc 2.88, 4 Ca 2.88
3 Tc 0.5000 0.0000 0.5000  8 Tc 2.88, 4 Ca 2.88
4 Tc 0.5000 0.5000 0.0000  8 Tc 2.88, 4 Ca 2.88

Energy of formation = 0.89 eV per atom
Energy above the lowest structure with this stoichiometry = 539.2 meV/atom
Space group = Pm-3m (221)


[14]
A geometry-optimized Ca5Tc3 structure. Source: Alexandria, functional GGA-PBE.

Cell lengths 7.5441, 7.5441, 3.7924 Å; angles 90.00, 90.00, 90.13 degrees
Closest atoms and distances in Å follow each position.
Sites, in units of the cell vectors:
1 Ca 0.0000 0.0000 0.0000  10 Ca 3.53-3.79
2 Ca 0.0000 0.5000 0.0000  4 Ca 3.28, 4 Tc 3.42
3 Ca 0.2785 0.7215 0.5000  4 Tc 2.90-3.03
4 Ca 0.5000 0.0000 0.0000  4 Ca 3.28, 4 Tc 3.42
5 Ca 0.7215 0.2785 0.5000  4 Tc 2.90-3.03
6 Tc 0.3431 0.3431 0.5000  2 Tc 2.53
7 Tc 0.5000 0.5000 0.0000  4 Tc 2.53
8 Tc 0.6569 0.6569 0.5000  2 Tc 2.53

Energy of formation = 0.49 eV per atom
Space group = Cmmm (65)


Summary of magnetization in μB per cell
0.000 0.786 0.000 1.340 0.813 0.000 0.000 0.000 3.504 0.000 0.000 0.002 0.000 0.000
(order as listed above)